The following is a GGA-PBE calculation of Ca2Pr2Dy after structural relaxation, from Alexandria.

Structure (extended XYZ):
```
5
Lattice="3.7087 0.0000 0.0000 -1.8544 3.2118 0.0000 0.0000 0.0000 15.5491" Properties=species:S:1:pos:R:3 pbc="T T T"
Ca 0.0000 2.1412 1.6480
Ca 1.8544 1.0706 13.9011
Pr 0.0000 2.1412 10.6523
Pr 1.8544 1.0706 4.8967
Dy 0.0000 0.0000 7.7745
```

Summary:
Electronic total energy (eV per atom): -3.6034
Total moment (μB/f.u.): 0.0
E_form (eV/atom): 0.029
Energy above the most stable polymorph in this dataset (eV/atom): 0.0000